VASP calculation (PBE) on Tb8Pm3Sc after structural relaxation.

Crystal system: tetragonal
Calculated volume, Å³/atom: 35.74
Space group: I-42m
Energy of formation, eV/atom: 0.5861

abc: 8.364 8.364 8.364
angles: 94.67 117.34 117.34
Fractional coordinates of all 12 atoms:
Tb1 0.469 0.210 0.210
Tb2 0.531 0.741 0.741
Tb3 0.000 0.790 0.259
Tb4 0.000 0.259 0.790
Tb5 0.252 0.366 0.366
Tb6 0.748 0.114 0.114
Tb7 0.000 0.634 0.886
Tb8 0.000 0.886 0.634
Pm1 0.500 0.750 0.250
Pm2 0.500 0.250 0.750
Pm3 0.000 0.500 0.500
Sc1 0.000 0.000 0.000